Density functional theory data (PBE+U) for a relaxed structure of MgMoIrF2.

Cell: 4.0712 6.6749 4.0712 Å, 90.00 90.00 90.00°
Last column: magnetic moment on the atom in μB.
Sites, in units of the cell vectors:
1 Mo 0.0000 0.0000 0.0000  3.30
2 Ir 0.5000 0.5000 0.5000  1.31
3 Mg 0.0000 0.5000 0.0000  -0.03
4 F 0.0000 0.0000 0.5000  0.02
5 F 0.5000 0.0000 0.0000  0.08

Calculated values
SG: No. 123
Magnetization, μB per cell: 5.08
VASP energy, eV/f.u.: -23.51
Crystal system: tetragonal